# LaSm7Sc2

A relaxed structure of LaSm7Sc2 (PBE-GGA, Alexandria via LeMat-Bulk).

Calculated values
crystal system = orthorhombic
excess energy over the best structure of this formula in the dataset = 542 kJ/mol of formula units
energy of formation = 0.6083 eV per atom
density of states at the Fermi level = 14.400 states/eV per cell
space-group type = No. 65
VASP energy = -4.454 eV per atom

a = 5.6701 Å, b = 8.8669 Å, c = 8.8670 Å
α = 119.45°, β = 90.00°, γ = 90.00°
Fractional coordinates of all 10 atoms:
Sm 0.5000 0.5000 0.5000
Sm 0.5000 0.9404 0.6941
Sm 0.5000 0.0596 0.3059
Sm 0.5000 0.6941 0.9404
Sm 0.0000 0.2507 0.7493
Sm 0.0000 0.7493 0.2507
Sm 0.5000 0.3059 0.0596
Sc 0.5000 0.2977 0.7023
Sc 0.5000 0.7023 0.2977
La 0.0000 0.0000 0.0000

# LaSm3Sc2

A relaxed structure of LaSm3Sc2 (PBE-GGA, Alexandria via LeMat-Bulk).

Calculated values
crystal system = orthorhombic
energy of formation = 0.2669 eV per atom
density of states at the Fermi level = 21.389 states/eV per cell
space-group type = No. 63
VASP energy = -5.024 eV per atom

a = 5.5122 Å, b = 8.7491 Å, c = 8.7491 Å
α = 111.13°, β = 90.00°, γ = 90.00°
Fractional coordinates of all 12 atoms:
Sc 0.4930 0.6951 0.4836
Sc 0.9930 0.5164 0.3049
Sc 0.4930 0.4836 0.6951
Sc 0.9930 0.3049 0.5164
Sm 0.4930 0.6356 0.1073
Sm 0.9930 0.0947 0.0947
Sm 0.4930 0.9053 0.9053
Sm 0.9930 0.8927 0.3644
Sm 0.9930 0.3644 0.8927
Sm 0.4930 0.1073 0.6356
La 0.9930 0.7390 0.7390
La 0.4930 0.2610 0.2610

# La6Sm5Sc2

A relaxed structure of La6Sm5Sc2 (PBE-GGA, Alexandria via LeMat-Bulk).

Calculated values
crystal system = orthorhombic
energy of formation = 0.1472 eV per atom
density of states at the Fermi level = 41.318 states/eV per cell
space-group type = No. 55
VASP energy = -4.916 eV per atom

a = 3.5463 Å, b = 10.9208 Å, c = 23.1338 Å
α = 90.00°, β = 90.00°, γ = 90.00°
Fractional coordinates of all 26 atoms:
La 0.0000 0.4841 0.6142
La 0.0000 0.5159 0.3858
La 0.5000 0.6669 0.8637
La 0.0000 0.0159 0.1142
La 0.0000 0.9841 0.8858
La 0.0000 0.1472 0.3838
La 0.0000 0.6472 0.1162
La 0.5000 0.8331 0.3637
La 0.5000 0.1669 0.6363
La 0.5000 0.3331 0.1363
La 0.0000 0.3528 0.8838
La 0.0000 0.8528 0.6162
Sm 0.5000 0.0819 0.2498
Sm 0.5000 0.8340 0.0015
Sm 0.5000 0.4181 0.7498
Sm 0.5000 0.0000 0.5000
Sm 0.5000 0.9181 0.7502
Sm 0.5000 0.6660 0.5015
Sm 0.5000 0.5819 0.2502
Sm 0.5000 0.1660 0.9985
Sm 0.5000 0.5000 0.0000
Sm 0.5000 0.3340 0.4985
Sc 0.0000 0.1681 0.7668
Sc 0.0000 0.3319 0.2668
Sc 0.0000 0.6681 0.7332
Sc 0.0000 0.8319 0.2332

# La5Sm6Sc

A relaxed structure of La5Sm6Sc (PBE-GGA, Alexandria via LeMat-Bulk).

Calculated values
crystal system = monoclinic
energy of formation = 0.0284 eV per atom
density of states at the Fermi level = 18.616 states/eV per cell
space-group type = No. 12
VASP energy = -4.912 eV per atom

a = 6.3103 Å, b = 6.3082 Å, c = 12.0877 Å
α = 84.98°, β = 79.93°, γ = 59.99°
Fractional coordinates of all 12 atoms:
Sm 0.7523 0.0000 0.7534
Sm 0.0815 0.3290 0.7535
Sm 0.4105 0.6710 0.7535
Sm 0.9185 0.6710 0.2465
Sm 0.5895 0.3290 0.2465
Sm 0.2477 0.0000 0.2466
La 0.6667 0.6666 0.0000
La 0.3333 0.3334 0.0000
La 0.1664 0.6671 0.5000
La 0.5000 0.0000 0.5000
La 0.8336 0.3329 0.5000
Sc 0.0000 0.0000 0.0000

# LaSm5Sc3

A relaxed structure of LaSm5Sc3 (PBE-GGA, Alexandria via LeMat-Bulk).

Calculated values
crystal system = monoclinic
energy of formation = 0.4308 eV per atom
density of states at the Fermi level = 29.090 states/eV per cell
space-group type = No. 12
VASP energy = -4.849 eV per atom

a = 9.3147 Å, b = 9.3147 Å, c = 11.3413 Å
α = 53.24°, β = 53.24°, γ = 75.21°
Fractional coordinates of all 18 atoms:
Sm 0.8235 0.8235 0.9537
Sm 0.4980 0.4980 0.2314
Sm 0.8606 0.3548 0.2607
Sm 0.3548 0.8606 0.2607
Sm 0.1394 0.6452 0.7393
Sm 0.5020 0.5020 0.7686
Sm 0.1765 0.1765 0.0463
Sm 0.2544 0.7456 0.0000
Sm 0.6452 0.1394 0.7393
Sm 0.7456 0.2544 0.0000
Sc 0.0000 0.0000 0.0000
Sc 0.0000 0.0000 0.5000
Sc 0.3426 0.3426 0.6448
Sc 0.6574 0.6574 0.3552
Sc 0.6840 0.6840 0.8225
Sc 0.3160 0.3160 0.1775
La 0.8311 0.8311 0.4229
La 0.1689 0.1689 0.5771

# La5Sm2Sc

A relaxed structure of La5Sm2Sc (PBE-GGA, Alexandria via LeMat-Bulk).

Calculated values
crystal system = monoclinic
energy of formation = 0.0521 eV per atom
density of states at the Fermi level = 13.599 states/eV per cell
space-group type = No. 12
VASP energy = -4.999 eV per atom

a = 3.6333 Å, b = 11.2834 Å, c = 10.3663 Å
α = 122.97°, β = 121.83°, γ = 90.00°
Fractional coordinates of all 8 atoms:
La 0.8850 0.3559 0.2570
La 0.0000 0.5000 0.0000
La 0.8850 0.9011 0.2570
La 0.1150 0.0989 0.7430
La 0.1150 0.6441 0.7430
Sm 0.7641 0.2549 0.5098
Sm 0.2359 0.7451 0.4902
Sc 0.0000 0.0000 0.0000

# La5Sm2Sc2

A relaxed structure of La5Sm2Sc2 (PBE-GGA, Alexandria via LeMat-Bulk).

Calculated values
crystal system = monoclinic
energy of formation = 0.1109 eV per atom
density of states at the Fermi level = 14.975 states/eV per cell
space-group type = No. 12
VASP energy = -5.082 eV per atom

a = 3.4993 Å, b = 11.9387 Å, c = 10.2414 Å
α = 45.36°, β = 80.16°, γ = 81.57°
Fractional coordinates of all 9 atoms:
La 0.0000 0.0000 0.0000
La 0.7811 0.6477 0.7900
La 0.6634 0.0071 0.6660
La 0.2189 0.3523 0.2100
La 0.3366 0.9929 0.3340
Sm 0.0551 0.3404 0.5494
Sm 0.9449 0.6596 0.4506
Sc 0.4027 0.3466 0.8480
Sc 0.5973 0.6534 0.1520

# La4Sm4Sc

A relaxed structure of La4Sm4Sc (PBE-GGA, Alexandria via LeMat-Bulk).

Calculated values
crystal system = tetragonal
energy of formation = 0.0407 eV per atom
density of states at the Fermi level = 17.711 states/eV per cell
space-group type = No. 139
VASP energy = -4.950 eV per atom

a = 5.1744 Å, b = 8.1296 Å, c = 8.1296 Å
α = 84.19°, β = 71.44°, γ = 71.44°
Fractional coordinates of all 9 atoms:
La 0.3311 0.6689 0.6689
La 0.6689 0.3311 0.3311
La 0.0000 0.3311 0.6689
La 0.0000 0.6689 0.3311
Sm 0.6620 0.0000 0.6759
Sm 0.3380 0.3241 0.0000
Sm 0.3380 0.0000 0.3241
Sm 0.6620 0.6759 0.0000
Sc 0.0000 0.0000 0.0000